Here is a geometry-optimized TiBP2Cl structure from Alexandria. Energies are from PBE.

```
TiBP2Cl
1.0
-0.3209 4.5604 -1.1968
-0.8357 -1.2356 -4.4841
-4.7192 -0.0945 0.9056
P B Cl Ti
2 1 1 1
direct
0.0000 0.5000 0.0000 P
0.5000 0.0000 0.0000 P
0.5000 0.5000 0.5000 B
0.0000 0.0000 0.5000 Cl
0.0000 0.0000 0.0000 Ti
```

Output
raw formation energy = 0.833 eV per atom
space-group type = P4/mmm (123)
E above lowest polymorph = 310.3 meV/atom